SiMoW2O after structural relaxation, computed with PBE with a Hubbard U. Values from VASP.

Cell and atoms, written as Quantum ESPRESSO input:
```
&SYSTEM
  ibrav = 0, nat = 5, ntyp = 4
/
ATOMIC_SPECIES
O 16.00 O.upf
Mo 95.94 Mo.upf
Si 28.09 Si.upf
W 183.84 W.upf
CELL_PARAMETERS angstrom
5.176 0.000 0.000
0.000 4.701 0.000
0.000 0.000 5.176
ATOMIC_POSITIONS crystal
O 0.500 0.500 0.500
Mo 0.000 0.000 0.000
Si 0.000 0.500 0.000
W 0.000 0.000 0.500
W 0.500 0.000 0.000
```

As for the space group: No. 123. The energy above the most stable polymorph in this dataset comes out at 880 meV/atom. Its density of states at the Fermi level is 3.46 states/eV/cell.